DFT (PBE) results for La6In2CO after structural relaxation.

Cell: 7.308 7.308 10.341 Å, 90.00 90.00 90.00°
Element x y z (fractional)
La: 0.751 0.999 0.000
La: 0.749 0.001 0.500
La: 0.251 0.001 0.500
La: 0.500 0.250 0.252
La: 0.251 0.498 0.500
La: 0.500 0.250 0.748
La: 0.249 0.502 0.000
La: 0.249 0.999 0.000
La: 0.751 0.502 0.000
La: 0.749 0.498 0.500
La: 0.000 0.750 0.752
La: 0.000 0.750 0.248
In: 0.500 0.750 0.750
In: 0.000 0.250 0.250
In: 0.500 0.750 0.250
In: 0.000 0.250 0.750
C: 0.500 0.250 0.500
C: 0.000 0.750 0.000
O: 0.000 0.750 0.500
O: 0.500 0.250 0.000

Calculated values
Raw formation energy: -9.22 eV/f.u.

---

DFT (PBE) results for OsRh2Cl after structural relaxation.

Cell: 2.806 2.806 8.963 Å, 90.00 90.00 121.20°
Element x y z (fractional)
Rh: 0.000 0.000 0.001
Rh: 0.000 0.000 0.499
Cl: 0.500 0.500 0.250
Os: 0.500 0.500 0.750

Calculated values
Energy above the most stable polymorph in this dataset: 0.230 eV/atom
Raw formation energy: 2.05 eV/f.u.

---

DFT (PBE) results for ScTiInGa after structural relaxation.

Cell: 4.781 4.781 4.781 Å, 60.00 60.00 60.00°
Element x y z (fractional)
Ti: 0.250 0.250 0.250
Sc: 0.750 0.750 0.750
Ga: 0.500 0.500 0.500
In: 0.000 0.000 0.000

Calculated values
Energy of formation: -266 meV per atom

---

DFT (PBE) results for Sm12Tl6Ge after structural relaxation.

Cell: 8.446 8.446 8.446 Å, 93.44 93.44 93.44°
Element x y z (fractional)
Tl: 0.267 0.673 0.864
Tl: 0.327 0.136 0.733
Tl: 0.673 0.864 0.267
Tl: 0.733 0.327 0.136
Tl: 0.864 0.267 0.673
Tl: 0.136 0.733 0.327
Sm: 0.982 0.102 0.328
Sm: 0.672 0.018 0.898
Sm: 0.549 0.199 0.439
Sm: 0.898 0.672 0.018
Sm: 0.561 0.451 0.801
Sm: 0.328 0.982 0.102
Sm: 0.018 0.898 0.672
Sm: 0.801 0.561 0.451
Sm: 0.102 0.328 0.982
Sm: 0.451 0.801 0.561
Sm: 0.439 0.549 0.199
Sm: 0.199 0.439 0.549
Ge: 0.000 0.000 0.000

Calculated values
Energy of formation: -224 meV per atom

---

DFT (PBE) results for LiTmTh2Te5 after structural relaxation.

Cell: 4.275 9.582 13.291 Å, 90.00 90.00 102.89°
Element x y z (fractional)
Te: 0.049 0.099 0.074
Te: 0.718 0.437 0.167
Te: 0.691 0.382 0.845
Te: 0.309 0.618 0.345
Te: 0.637 0.274 0.498
Te: 0.363 0.726 0.998
Te: 0.951 0.901 0.574
Te: 0.501 0.002 0.288
Te: 0.282 0.563 0.667
Te: 0.499 0.998 0.788
Th: 0.130 0.260 0.301
Th: 0.106 0.212 0.681
Th: 0.894 0.788 0.181
Th: 0.870 0.740 0.801
Li: 0.436 0.872 0.462
Li: 0.564 0.128 0.962
Tm: 0.200 0.400 0.008
Tm: 0.800 0.600 0.508

Calculated values
Raw formation energy: -10.07 eV/f.u.

---

DFT (PBE) results for Rb4Ac3GaS8 after structural relaxation.

Cell: 8.531 9.223 8.732 Å, 117.81 119.24 90.00°
Element x y z (fractional)
S: 0.803 0.321 0.028
S: 0.745 0.276 0.491
S: 0.731 0.707 0.462
S: 0.224 0.321 0.028
S: 0.255 0.724 0.509
S: 0.776 0.679 0.972
S: 0.269 0.293 0.538
S: 0.197 0.679 0.972
Rb: 0.000 0.000 0.500
Rb: 0.500 0.000 0.500
Rb: 0.000 0.000 0.000
Rb: 0.500 0.000 0.000
Ga: 0.000 0.500 0.000
Ac: 0.000 0.500 0.500
Ac: 0.500 0.500 0.500
Ac: 0.500 0.500 0.000

Calculated values
Raw formation energy: -24.27 eV/f.u.

---

DFT (PBE) results for Pu2Zn3Pd after structural relaxation.

Cell: 5.398 5.398 5.490 Å, 89.99 119.60 119.85°
Element x y z (fractional)
Zn: 0.500 0.500 0.500
Zn: 0.000 0.000 0.500
Zn: 0.500 0.000 0.500
Pu: 0.748 0.374 0.121
Pu: 0.252 0.626 0.879
Pd: 0.000 0.000 0.000

Calculated values
Energy above the most stable polymorph in this dataset: 0.040 eV/atom
Energy of formation: -287 meV per atom

---

DFT (PBE) results for Si2AsIr after structural relaxation.

Cell: 6.273 6.273 6.273 Å, 153.68 142.52 46.38°
Element x y z (fractional)
Si: 0.768 0.268 0.500
Si: 0.055 0.055 0.000
Ir: 0.231 0.731 0.500
As: 0.446 0.446 0.000

Calculated values
Raw formation energy: 0.37 eV/f.u.

---

DFT (PBE) results for TmZn2Ge after structural relaxation.

Cell: 4.399 4.087 4.087 Å, 90.00 90.00 90.00°
Element x y z (fractional)
Zn: 0.000 0.500 0.000
Zn: 0.000 0.000 0.500
Tm: 0.500 0.500 0.500
Ge: 0.500 0.000 0.000

Calculated values
Energy above the most stable polymorph in this dataset: 0.000 eV/atom
Energy of formation: -406 meV per atom

---

DFT (PBE) results for Sc3Tc2Ag2 after structural relaxation.

Cell: 4.084 3.135 10.599 Å, 90.00 78.89 90.00°
Element x y z (fractional)
Sc: 0.000 0.000 0.000
Sc: 0.843 0.000 0.314
Sc: 0.157 0.000 0.686
Ag: 0.575 0.500 0.851
Ag: 0.425 0.500 0.149
Tc: 0.720 0.500 0.559
Tc: 0.280 0.500 0.441

Calculated values
Energy of formation: -101 meV per atom

---

DFT (PBE) results for SiCF2 after structural relaxation.

Cell: 7.452 7.452 7.452 Å, 19.86 19.86 19.86°
Element x y z (fractional)
Si: 0.500 0.500 0.500
F: 0.085 0.085 0.085
F: 0.915 0.915 0.915
C: 0.000 0.000 0.000

Calculated values
Energy above the most stable polymorph in this dataset: 0.406 eV/atom
Raw formation energy: 1.98 eV/f.u.

---

DFT (PBE) results for Zr2AlBi after structural relaxation.

Cell: 4.276 4.276 11.038 Å, 78.83 78.83 90.00°
Element x y z (fractional)
Zr: 0.375 0.380 0.750
Zr: 0.620 0.125 0.250
Zr: 0.875 0.870 0.750
Zr: 0.130 0.625 0.250
Al: 0.250 0.750 0.500
Al: 0.500 0.500 0.000
Bi: 0.750 0.250 0.500
Bi: 0.000 0.000 0.000

Calculated values
Energy above the most stable polymorph in this dataset: 0.334 eV/atom
Energy of formation: 157 meV per atom

---

Calculated calculated total energy, -5.84 -6.43 -5.26 -4.19 -5.22 -4.78 -6.57 -6.00 -3.32 -6.59 -4.10 -6.02 eV/atom (same order as the records).